Record 1
Material: SmErFe
Method: DFT, PBE
State: relaxed

Values from the calculation:
magnetic moment = 0.2 μB per formula unit
crystal system = cubic
energy relative to the elements = 221 meV per atom
energy above the most stable polymorph in this dataset = 0.000 eV/atom

Cell and atoms, written as CIF:
```
data_SmErFe
_cell_length_a 6.626
_cell_length_b 6.626
_cell_length_c 6.626
_cell_angle_alpha 90.00
_cell_angle_beta 90.00
_cell_angle_gamma 90.00
_symmetry_space_group_name_H-M 'F -4 3 m'
_symmetry_Int_Tables_number 216
_symmetry_space_group_name_Hall 'F -4 2 3'
loop_
_atom_site_label
_atom_site_type_symbol
_atom_site_fract_x
_atom_site_fract_y
_atom_site_fract_z
Sm1 Sm 0.000 0.000 0.000
Er1 Er 0.000 0.000 0.500
Fe1 Fe 0.250 0.250 0.750
```

---

Record 2
Material: SmErTlFe2
Method: DFT, PBE
State: relaxed

Values from the calculation:
magnetic moment = 1.5 μB per formula unit
crystal system = orthorhombic
total energy = -57.83 eV for the cell shown

Cell and atoms, written as CIF:
```
data_SmErTlFe2
_cell_length_a 4.013
_cell_length_b 3.789
_cell_length_c 13.862
_cell_angle_alpha 90.00
_cell_angle_beta 90.00
_cell_angle_gamma 90.00
_symmetry_space_group_name_H-M 'A m m 2'
_symmetry_Int_Tables_number 38
_symmetry_space_group_name_Hall 'A 2 -2'
loop_
_atom_site_label
_atom_site_type_symbol
_atom_site_fract_x
_atom_site_fract_y
_atom_site_fract_z
Sm1 Sm 0.000 0.000 0.000
Er1 Er 0.000 0.000 0.278
Tl1 Tl 0.500 0.000 0.641
Fe1 Fe 0.500 0.000 0.424
Fe2 Fe 0.500 0.000 0.845
```

---

Record 3
Material: ErFe6Sn6
Method: DFT, PBE
State: relaxed

Values from the calculation:
magnetic moment = 12.6 μB per formula unit
crystal system = orthorhombic
total energy = -639.69 eV for the cell shown

Cell and atoms, written as CIF:
```
data_ErFe6Sn6
_cell_length_a 8.920
_cell_length_b 37.324
_cell_length_c 5.398
_cell_angle_alpha 90.00
_cell_angle_beta 90.00
_cell_angle_gamma 90.00
_symmetry_space_group_name_H-M 'C m c m'
_symmetry_Int_Tables_number 63
_symmetry_space_group_name_Hall '-C 2c 2'
loop_
_atom_site_label
_atom_site_type_symbol
_atom_site_fract_x
_atom_site_fract_y
_atom_site_fract_z
Er1 Er 0.000 0.063 0.250
Er2 Er 0.000 0.189 0.750
Fe1 Fe 0.246 0.000 0.000
Fe2 Fe 0.246 0.063 0.750
Fe3 Fe 0.246 0.125 0.000
Fe4 Fe 0.247 0.188 0.250
Fe5 Fe 0.250 0.250 0.000
Sn1 Sn 0.000 0.021 0.750
Sn2 Sn 0.000 0.104 0.750
Sn3 Sn 0.000 0.146 0.250
Sn4 Sn 0.000 0.230 0.250
Sn5 Sn 0.000 0.272 0.750
Sn6 Sn 0.000 0.355 0.750
Sn7 Sn 0.000 0.396 0.250
Sn8 Sn 0.000 0.479 0.250
Sn9 Sn 0.164 0.313 0.250
Sn10 Sn 0.164 0.438 0.750
```

---

Record 4
Material: TbErFe2Sn
Method: DFT, PBE
State: relaxed

Values from the calculation:
magnetic moment = 3.0 μB per formula unit
crystal system = orthorhombic
total energy = -62.55 eV for the cell shown

Cell and atoms, written as CIF:
```
data_TbErFe2Sn
_cell_length_a 3.791
_cell_length_b 3.872
_cell_length_c 13.941
_cell_angle_alpha 90.00
_cell_angle_beta 90.00
_cell_angle_gamma 90.00
_symmetry_space_group_name_H-M 'A m m 2'
_symmetry_Int_Tables_number 38
_symmetry_space_group_name_Hall 'A 2 -2'
loop_
_atom_site_label
_atom_site_type_symbol
_atom_site_fract_x
_atom_site_fract_y
_atom_site_fract_z
Tb1 Tb 0.000 0.000 0.000
Er1 Er 0.000 0.000 0.269
Fe1 Fe 0.500 0.000 0.430
Fe2 Fe 0.500 0.000 0.837
Sn1 Sn 0.500 0.000 0.636
```

---

Record 5
Material: YErFe2Sn
Method: DFT, PBE
State: relaxed

Values from the calculation:
magnetic moment = 3.1 μB per formula unit
crystal system = orthorhombic
total energy = -66.25 eV for the cell shown

Cell and atoms, written as CIF:
```
data_YErFe2Sn
_cell_length_a 3.778
_cell_length_b 3.884
_cell_length_c 13.928
_cell_angle_alpha 90.00
_cell_angle_beta 90.00
_cell_angle_gamma 90.00
_symmetry_space_group_name_H-M 'A m m 2'
_symmetry_Int_Tables_number 38
_symmetry_space_group_name_Hall 'A 2 -2'
loop_
_atom_site_label
_atom_site_type_symbol
_atom_site_fract_x
_atom_site_fract_y
_atom_site_fract_z
Y1 Y 0.000 0.000 0.000
Er1 Er 0.000 0.000 0.269
Fe1 Fe 0.500 0.000 0.429
Fe2 Fe 0.500 0.000 0.836
Sn1 Sn 0.500 0.000 0.635
```

---

Record 6
Material: ErTaFe
Method: DFT, PBE
State: relaxed

Values from the calculation:
magnetic moment = 0.0 μB per formula unit
crystal system = cubic
energy relative to the elements = 365 meV per atom

Cell and atoms, written as CIF:
```
data_ErTaFe
_cell_length_a 6.194
_cell_length_b 6.194
_cell_length_c 6.194
_cell_angle_alpha 90.00
_cell_angle_beta 90.00
_cell_angle_gamma 90.00
_symmetry_space_group_name_H-M 'F -4 3 m'
_symmetry_Int_Tables_number 216
_symmetry_space_group_name_Hall 'F -4 2 3'
loop_
_atom_site_label
_atom_site_type_symbol
_atom_site_fract_x
_atom_site_fract_y
_atom_site_fract_z
Er1 Er 0.000 0.000 0.000
Ta1 Ta 0.000 0.000 0.500
Fe1 Fe 0.250 0.250 0.250
```

---

Q: What is the formula in the third record?
A: ErFe6Sn6

---

Q: Which value of magnetic moment does entry 5 give?
A: 3.1 μB per formula unit